# Rb2TaBr6F

Rb2TaBr6F after structural relaxation (PBE, the Alexandria database).

abc: 10.9290 10.9290 10.9290
angles: 90.00 90.00 90.00
Last column: nearest neighbours and their distance in Å.
Space group Fm-3m (No. 225)
Symmetry-distinct sites (fractional):
Rb (0.2500, 0.2500, 0.2500)  12 Br 3.87
Ta (0.0000, 0.0000, 0.0000)  6 Br 2.55
Br (0.0000, 0.0000, 0.2336)  1 Ta 2.55
F (0.0000, 0.0000, 0.5000)  6 Br 2.91

Summary:
Its formation energy (no corrections) is -1.2733 eV per atom. For the total energy, the calculation gives -3.843 eV per atom.